First-principles (PBE with a Hubbard U) data for FeSiOF2 after structural relaxation, as listed in the Alexandria database.

Properties
As for the energy above the most stable polymorph in this dataset: 2.53 kcal/mol of atoms. Its space group is P4/mmm, No. 123.

Unit cell a=4.002 b=4.002 c=4.066 alpha=90.00 beta=90.00 gamma=90.00
Fractional positions:
1 F 0.000 0.500 0.000
2 F 0.500 0.000 0.000
3 Fe 0.000 0.000 0.000
4 Si 0.500 0.500 0.500
5 O 0.000 0.000 0.500